No. 1
A plane-wave DFT calculation with PBE-GGA was carried out for an optimized crystal structure of NdDy6Y2.

## Properties
- Formation energy: 0.221 eV per atom
- Polymorph energy (0 for the lowest one): 0.212 eV/f.u.

Structure (CIF):
```
data_NdDy6Y2
_chemical_formula_sum 'Nd1 Dy6 Y2'
_symmetry_space_group_name_H-M 'P -3 m 1'
_symmetry_Int_Tables_number 164
_symmetry_space_group_name_Hall '-P 3 2"'
_cell_length_a 7.4007
_cell_length_b 7.4007
_cell_length_c 6.1271
_cell_angle_alpha 90.00
_cell_angle_beta 90.00
_cell_angle_gamma 120.00
loop_
_atom_site_label
_atom_site_type_symbol
_atom_site_fract_x
_atom_site_fract_y
_atom_site_fract_z
_atom_site_occupancy
Nd1 Nd 0.0000 0.0000 0.0000 1
Dy1 Dy 0.1872 0.3743 0.2987 1
Y1 Y 0.3333 0.6667 0.7922 1
```

=====

No. 2
A plane-wave DFT calculation with PBE-GGA was carried out for an optimized crystal structure of GePN.

## Properties
- Polymorph energy (0 for the lowest one): 0.197 eV/f.u.

Structure (CIF):
```
data_GePN
_chemical_formula_sum 'Ge1 P1 N1'
_symmetry_space_group_name_H-M 'P 1 m 1'
_symmetry_Int_Tables_number 6
_cell_length_a 2.830
_cell_length_b 2.704
_cell_length_c 6.326
_cell_angle_alpha 90.00
_cell_angle_beta 102.36
_cell_angle_gamma 90.00
loop_
_symmetry_equiv_pos_as_xyz
'x,y,z'
'x,-y,z'
loop_
_atom_site_label
_atom_site_type_symbol
_atom_site_fract_x
_atom_site_fract_y
_atom_site_fract_z
_atom_site_occupancy
Ge1 Ge 0.000 0.000 0.000 1
P1 P 0.765 0.500 0.508 1
N1 N 0.845 0.000 0.675 1
```

=====

No. 3
A plane-wave DFT calculation with PBE-GGA was carried out for an optimized crystal structure of CaHoNiHg.

## Properties
- Formation energy: -0.277 eV per atom

Structure (CIF):
```
data_CaHoNiHg
_chemical_formula_sum 'Ca4 Ho4 Ni4 Hg4'
_symmetry_space_group_name_H-M 'F -4 3 m'
_symmetry_Int_Tables_number 216
_symmetry_space_group_name_Hall 'F -4 2 3'
_cell_length_a 7.146
_cell_length_b 7.146
_cell_length_c 7.146
_cell_angle_alpha 90.00
_cell_angle_beta 90.00
_cell_angle_gamma 90.00
loop_
_atom_site_label
_atom_site_type_symbol
_atom_site_fract_x
_atom_site_fract_y
_atom_site_fract_z
_atom_site_occupancy
Ca1 Ca 0.000 0.000 0.000 1
Ho1 Ho 0.000 0.000 0.500 1
Ni1 Ni 0.250 0.250 0.750 1
Hg1 Hg 0.250 0.250 0.250 1
```

=====

No. 4
A plane-wave DFT calculation with PBE-GGA was carried out for an optimized crystal structure of CaLaTbDy.

## Properties
- Formation energy: 0.132 eV per atom

Structure (CIF):
```
data_CaLaTbDy
_chemical_formula_sum 'Ca4 La4 Tb4 Dy4'
_symmetry_space_group_name_H-M 'F -4 3 m'
_symmetry_Int_Tables_number 216
_symmetry_space_group_name_Hall 'F -4 2 3'
_cell_length_a 8.263
_cell_length_b 8.263
_cell_length_c 8.263
_cell_angle_alpha 90.00
_cell_angle_beta 90.00
_cell_angle_gamma 90.00
loop_
_atom_site_label
_atom_site_type_symbol
_atom_site_fract_x
_atom_site_fract_y
_atom_site_fract_z
_atom_site_occupancy
Ca1 Ca 0.000 0.000 0.000 1
La1 La 0.250 0.250 0.750 1
Tb1 Tb 0.250 0.250 0.250 1
Dy1 Dy 0.000 0.000 0.500 1
```

=====

No. 5
A plane-wave DFT calculation with PBE-GGA was carried out for an optimized crystal structure of Ho5Bi4As.

## Properties
- Formation energy: -0.941 eV per atom

Structure (CIF):
```
data_Ho5Bi4As
_chemical_formula_sum 'Ho10 Bi8 As2'
_symmetry_space_group_name_H-M 'I 4/m m m'
_symmetry_Int_Tables_number 139
_symmetry_space_group_name_Hall '-I 4 2'
_cell_length_a 4.398
_cell_length_b 4.398
_cell_length_c 31.026
_cell_angle_alpha 90.00
_cell_angle_beta 90.00
_cell_angle_gamma 90.00
loop_
_atom_site_label
_atom_site_type_symbol
_atom_site_fract_x
_atom_site_fract_y
_atom_site_fract_z
_atom_site_occupancy
Ho1 Ho 0.000 0.000 0.000 1
Ho2 Ho 0.000 0.000 0.201 1
Ho3 Ho 0.000 0.000 0.408 1
Bi1 Bi 0.000 0.000 0.100 1
Bi2 Bi 0.000 0.000 0.303 1
As1 As 0.000 0.000 0.500 1
```

=====

No. 6
A plane-wave DFT calculation with PBE-GGA was carried out for an optimized crystal structure of Li3ZnO.

## Properties
- Polymorph energy (0 for the lowest one): 0.000 eV/f.u.

Structure (CIF):
```
data_Li3ZnO
_chemical_formula_sum 'Li3 Zn1 O1'
_symmetry_space_group_name_H-M 'P m -3 m'
_symmetry_Int_Tables_number 221
_symmetry_space_group_name_Hall '-P 4 2 3'
_cell_length_a 3.963
_cell_length_b 3.963
_cell_length_c 3.963
_cell_angle_alpha 90.00
_cell_angle_beta 90.00
_cell_angle_gamma 90.00
loop_
_atom_site_label
_atom_site_type_symbol
_atom_site_fract_x
_atom_site_fract_y
_atom_site_fract_z
_atom_site_occupancy
Li1 Li 0.000 0.000 0.500 1
Zn1 Zn 0.500 0.500 0.500 1
O1 O 0.000 0.000 0.000 1
```

=====

No. 7
A plane-wave DFT calculation with PBE-GGA was carried out for an optimized crystal structure of SmTmAgRh.

## Properties
- Formation energy: -0.545 eV per atom
- Polymorph energy (0 for the lowest one): 0.109 eV/f.u.

Structure (CIF):
```
data_SmTmAgRh
_chemical_formula_sum 'Sm4 Tm4 Ag4 Rh4'
_symmetry_space_group_name_H-M 'F -4 3 m'
_symmetry_Int_Tables_number 216
_symmetry_space_group_name_Hall 'F -4 2 3'
_cell_length_a 7.083
_cell_length_b 7.083
_cell_length_c 7.083
_cell_angle_alpha 90.00
_cell_angle_beta 90.00
_cell_angle_gamma 90.00
loop_
_atom_site_label
_atom_site_type_symbol
_atom_site_fract_x
_atom_site_fract_y
_atom_site_fract_z
_atom_site_occupancy
Sm1 Sm 0.000 0.000 0.000 1
Tm1 Tm 0.000 0.000 0.500 1
Ag1 Ag 0.250 0.250 0.750 1
Rh1 Rh 0.250 0.250 0.250 1
```

=====

No. 8
A plane-wave DFT calculation with PBE-GGA was carried out for an optimized crystal structure of Ba2SrCa6.

## Properties
- Formation energy: 0.028 eV per atom
- Polymorph energy (0 for the lowest one): 0.000 eV/f.u.

Structure (CIF):
```
data_Ba2SrCa6
_chemical_formula_sum 'Ba4 Sr2 Ca12'
_symmetry_space_group_name_H-M 'C 1 2/m 1'
_symmetry_Int_Tables_number 12
_cell_length_a 20.496
_cell_length_b 4.179
_cell_length_c 10.274
_cell_angle_alpha 90.00
_cell_angle_beta 100.77
_cell_angle_gamma 90.00
loop_
_symmetry_equiv_pos_as_xyz
'x,y,z'
'-x,-y,-z'
'-x,y,-z'
'x,-y,z'
'x+1/2,y+1/2,z'
'-x+1/2,-y+1/2,-z'
'-x+1/2,y+1/2,-z'
'x+1/2,-y+1/2,z'
loop_
_atom_site_label
_atom_site_type_symbol
_atom_site_fract_x
_atom_site_fract_y
_atom_site_fract_z
_atom_site_occupancy
Ba1 Ba 0.076 0.000 0.363 1
Sr1 Sr 0.000 0.500 0.000 1
Ca1 Ca 0.106 0.500 0.713 1
Ca2 Ca 0.175 0.000 0.024 1
Ca3 Ca 0.247 0.500 0.337 1
```

=====

No. 9
A plane-wave DFT calculation with PBE-GGA was carried out for an optimized crystal structure of K2RbPaI8.

Structure (CIF):
```
data_K2RbPaI8
_chemical_formula_sum 'K2 Rb1 Pa1 I8'
_symmetry_space_group_name_H-M 'P -1'
_symmetry_Int_Tables_number 2
_cell_length_a 7.251
_cell_length_b 8.680
_cell_length_c 10.730
_cell_angle_alpha 89.75
_cell_angle_beta 89.60
_cell_angle_gamma 74.78
loop_
_symmetry_equiv_pos_as_xyz
'x,y,z'
'-x,-y,-z'
loop_
_atom_site_label
_atom_site_type_symbol
_atom_site_fract_x
_atom_site_fract_y
_atom_site_fract_z
_atom_site_occupancy
K1 K 0.009 0.498 0.223 1
Rb1 Rb 0.000 0.000 0.000 1
Pa1 Pa 0.000 0.000 0.500 1
I1 I 0.212 0.250 0.502 1
I2 I 0.257 0.819 0.694 1
I3 I 0.260 0.824 0.305 1
I4 I 0.283 0.280 0.995 1
```

=====

No. 10
A plane-wave DFT calculation with PBE-GGA was carried out for an optimized crystal structure of CeTcP2Pd.

## Properties
- Formation energy: -0.858 eV per atom

Structure (CIF):
```
data_CeTcP2Pd
_chemical_formula_sum 'Ce2 Tc2 P4 Pd2'
_symmetry_space_group_name_H-M 'I -4 m 2'
_symmetry_Int_Tables_number 119
_symmetry_space_group_name_Hall 'I -4 -2'
_cell_length_a 4.036
_cell_length_b 4.036
_cell_length_c 10.206
_cell_angle_alpha 90.00
_cell_angle_beta 90.00
_cell_angle_gamma 90.00
loop_
_atom_site_label
_atom_site_type_symbol
_atom_site_fract_x
_atom_site_fract_y
_atom_site_fract_z
_atom_site_occupancy
Ce1 Ce 0.000 0.000 0.000 1
Tc1 Tc 0.000 0.500 0.250 1
P1 P 0.000 0.000 0.383 1
Pd1 Pd 0.000 0.500 0.750 1
```

=====

No. 11
A plane-wave DFT calculation with PBE-GGA was carried out for an optimized crystal structure of LaPrF.

Structure (CIF):
```
data_LaPrF
_chemical_formula_sum 'La1 Pr1 F1'
_symmetry_space_group_name_H-M 'P 3 m 1'
_symmetry_Int_Tables_number 156
_cell_length_a 3.9632
_cell_length_b 3.9632
_cell_length_c 5.8640
_cell_angle_alpha 90.00
_cell_angle_beta 90.00
_cell_angle_gamma 120.00
loop_
_symmetry_equiv_pos_as_xyz
'x,y,z'
'-y,x-y,z'
'-x+y,-x,z'
'-y,-x,z'
'-x+y,y,z'
'x,x-y,z'
loop_
_atom_site_label
_atom_site_type_symbol
_atom_site_fract_x
_atom_site_fract_y
_atom_site_fract_z
_atom_site_occupancy
La1 La 0.0000 0.0000 0.0000 1
Pr1 Pr 0.6667 0.3333 0.5182 1
F1 F 0.3333 0.6667 0.7647 1
```

=====

No. 12
A plane-wave DFT calculation with PBE-GGA was carried out for an optimized crystal structure of ZrReAs2Br.

## Properties
- Polymorph energy (0 for the lowest one): 1.781 eV/f.u.

Structure (CIF):
```
data_ZrReAs2Br
_chemical_formula_sum 'Zr1 Re1 As2 Br1'
_symmetry_space_group_name_H-M 'P 4/m m m'
_symmetry_Int_Tables_number 123
_symmetry_space_group_name_Hall '-P 4 2'
_cell_length_a 5.242
_cell_length_b 5.242
_cell_length_c 5.185
_cell_angle_alpha 90.00
_cell_angle_beta 90.00
_cell_angle_gamma 90.00
loop_
_atom_site_label
_atom_site_type_symbol
_atom_site_fract_x
_atom_site_fract_y
_atom_site_fract_z
_atom_site_occupancy
Zr1 Zr 0.000 0.000 0.000 1
Re1 Re 0.500 0.500 0.500 1
As1 As 0.000 0.500 0.000 1
Br1 Br 0.000 0.000 0.500 1
```

=====

No. 13
A plane-wave DFT calculation with PBE-GGA was carried out for an optimized crystal structure of NaTa3Tc.

## Properties
- Formation energy: 2.522 eV per atom
- Polymorph energy (0 for the lowest one): 6.691 eV/f.u.

Structure (CIF):
```
data_NaTa3Tc
_chemical_formula_sum 'Na1 Ta3 Tc1'
_symmetry_space_group_name_H-M 'P m -3 m'
_symmetry_Int_Tables_number 221
_symmetry_space_group_name_Hall '-P 4 2 3'
_cell_length_a 4.583
_cell_length_b 4.583
_cell_length_c 4.583
_cell_angle_alpha 90.00
_cell_angle_beta 90.00
_cell_angle_gamma 90.00
loop_
_atom_site_label
_atom_site_type_symbol
_atom_site_fract_x
_atom_site_fract_y
_atom_site_fract_z
_atom_site_occupancy
Na1 Na 0.000 0.000 0.000 1
Ta1 Ta 0.000 0.000 0.500 1
Tc1 Tc 0.500 0.500 0.500 1
```

=====

No. 14
A plane-wave DFT calculation with PBE-GGA was carried out for an optimized crystal structure of GePd6Se.

Structure (CIF):
```
data_GePd6Se
_chemical_formula_sum 'Ge3 Pd18 Se3'
_symmetry_space_group_name_H-M 'R -3'
_symmetry_Int_Tables_number 148
_symmetry_space_group_name_Hall '-R 3'
_cell_length_a 6.0795
_cell_length_b 6.0795
_cell_length_c 12.5631
_cell_angle_alpha 90.00
_cell_angle_beta 90.00
_cell_angle_gamma 120.00
loop_
_atom_site_label
_atom_site_type_symbol
_atom_site_fract_x
_atom_site_fract_y
_atom_site_fract_z
_atom_site_occupancy
Ge1 Ge 0.0000 0.0000 0.0000 1
Pd1 Pd 0.0034 0.2741 0.7487 1
Se1 Se 0.0000 0.0000 0.5000 1
```

=====

No. 15
A plane-wave DFT calculation with PBE-GGA was carried out for an optimized crystal structure of AcPr2Pt4.

## Properties
- Formation energy: -1.095 eV per atom

Structure (CIF):
```
data_AcPr2Pt4
_chemical_formula_sum 'Ac2 Pr4 Pt8'
_symmetry_space_group_name_H-M 'I m m m'
_symmetry_Int_Tables_number 71
_symmetry_space_group_name_Hall '-I 2 2'
_cell_length_a 4.114
_cell_length_b 4.394
_cell_length_c 19.320
_cell_angle_alpha 90.00
_cell_angle_beta 90.00
_cell_angle_gamma 90.00
loop_
_atom_site_label
_atom_site_type_symbol
_atom_site_fract_x
_atom_site_fract_y
_atom_site_fract_z
_atom_site_occupancy
Ac1 Ac 0.000 0.000 0.000 1
Pr1 Pr 0.000 0.500 0.187 1
Pt1 Pt 0.000 0.000 0.431 1
Pt2 Pt 0.000 0.500 0.342 1
```

=====

No. 16
A plane-wave DFT calculation with PBE-GGA was carried out for an optimized crystal structure of CdIn2IrBr.

Structure (CIF):
```
data_CdIn2IrBr
_chemical_formula_sum 'Cd1 In2 Ir1 Br1'
_symmetry_space_group_name_H-M 'P 4/m m m'
_symmetry_Int_Tables_number 123
_symmetry_space_group_name_Hall '-P 4 2'
_cell_length_a 5.211
_cell_length_b 5.211
_cell_length_c 5.287
_cell_angle_alpha 90.00
_cell_angle_beta 90.00
_cell_angle_gamma 90.00
loop_
_atom_site_label
_atom_site_type_symbol
_atom_site_fract_x
_atom_site_fract_y
_atom_site_fract_z
_atom_site_occupancy
Cd1 Cd 0.000 0.000 0.000 1
In1 In 0.000 0.500 0.500 1
Ir1 Ir 0.000 0.000 0.500 1
Br1 Br 0.500 0.500 0.000 1
```

=====

No. 17
A plane-wave DFT calculation with PBE-GGA was carried out for an optimized crystal structure of ScInFe2.

## Properties
- Formation energy: -0.076 eV per atom

Structure (CIF):
```
data_ScInFe2
_chemical_formula_sum 'Sc1 In1 Fe2'
_symmetry_space_group_name_H-M 'P 4 m m'
_symmetry_Int_Tables_number 99
_cell_length_a 3.123
_cell_length_b 3.123
_cell_length_c 6.817
_cell_angle_alpha 90.00
_cell_angle_beta 90.00
_cell_angle_gamma 90.00
loop_
_symmetry_equiv_pos_as_xyz
'x,y,z'
'-y,x,z'
'-x,-y,z'
'y,-x,z'
'-x,y,z'
'y,x,z'
'x,-y,z'
'-y,-x,z'
loop_
_atom_site_label
_atom_site_type_symbol
_atom_site_fract_x
_atom_site_fract_y
_atom_site_fract_z
_atom_site_occupancy
Sc1 Sc 0.000 0.000 0.000 1
In1 In 0.500 0.500 0.665 1
Fe1 Fe 0.000 0.000 0.413 1
Fe2 Fe 0.500 0.500 0.241 1
```

=====

No. 18
A plane-wave DFT calculation with PBE-GGA was carried out for an optimized crystal structure of HoCuGe2.

## Properties
- Formation energy: -0.471 eV per atom

Structure (CIF):
```
data_HoCuGe2
_chemical_formula_sum 'Ho4 Cu4 Ge8'
_symmetry_space_group_name_H-M 'I 4/m m m'
_symmetry_Int_Tables_number 139
_symmetry_space_group_name_Hall '-I 4 2'
_cell_length_a 4.046
_cell_length_b 4.046
_cell_length_c 18.354
_cell_angle_alpha 90.00
_cell_angle_beta 90.00
_cell_angle_gamma 90.00
loop_
_atom_site_label
_atom_site_type_symbol
_atom_site_fract_x
_atom_site_fract_y
_atom_site_fract_z
_atom_site_occupancy
Ho1 Ho 0.000 0.000 0.120 1
Cu1 Cu 0.000 0.500 0.250 1
Ge1 Ge 0.000 0.000 0.328 1
Ge2 Ge 0.000 0.500 0.000 1
```

=====

No. 19
A plane-wave DFT calculation with PBE-GGA was carried out for an optimized crystal structure of SmTh2Pt.

## Properties
- Formation energy: -0.467 eV per atom
- Polymorph energy (0 for the lowest one): 0.540 eV/f.u.

Structure (CIF):
```
data_SmTh2Pt
_chemical_formula_sum 'Sm1 Th2 Pt1'
_symmetry_space_group_name_H-M 'P 4/m m m'
_symmetry_Int_Tables_number 123
_symmetry_space_group_name_Hall '-P 4 2'
_cell_length_a 3.710
_cell_length_b 3.710
_cell_length_c 8.290
_cell_angle_alpha 90.00
_cell_angle_beta 90.00
_cell_angle_gamma 90.00
loop_
_atom_site_label
_atom_site_type_symbol
_atom_site_fract_x
_atom_site_fract_y
_atom_site_fract_z
_atom_site_occupancy
Sm1 Sm 0.000 0.000 0.000 1
Th1 Th 0.500 0.500 0.297 1
Pt1 Pt 0.000 0.000 0.500 1
```

=====

No. 20
A plane-wave DFT calculation with PBE-GGA was carried out for an optimized crystal structure of Er7Tl2Rh2.

## Properties
- Formation energy: -0.388 eV per atom

Structure (CIF):
```
data_Er7Tl2Rh2
_chemical_formula_sum 'Er14 Tl4 Rh4'
_symmetry_space_group_name_H-M 'C m m m'
_symmetry_Int_Tables_number 65
_symmetry_space_group_name_Hall '-C 2 2'
_cell_length_a 8.075
_cell_length_b 10.878
_cell_length_c 7.068
_cell_angle_alpha 90.00
_cell_angle_beta 90.00
_cell_angle_gamma 90.00
loop_
_atom_site_label
_atom_site_type_symbol
_atom_site_fract_x
_atom_site_fract_y
_atom_site_fract_z
_atom_site_occupancy
Er1 Er 0.000 0.000 0.000 1
Er2 Er 0.000 0.500 0.239 1
Er3 Er 0.250 0.250 0.248 1
Tl1 Tl 0.184 0.000 0.500 1
Rh1 Rh 0.000 0.288 0.000 1
```

=====

Calculated calculated volume, 290.6, 47.3, 364.9, 564.2, 600.2, 62.2, 355.4, 864.5, 651.6, 166.2, 79.8, 142.5, 96.3, 402.1, 349.2, 143.6, 66.5, 300.5, 114.1, 620.9 Å³ per cell (same order as the records).
Calculated raw total energy, -0.354, -0.438, -0.253, -0.287, -0.386, -0.244, -0.396, -0.141, -0.239, -0.538, -0.399, -0.393, -0.509, -0.374, -0.478, -0.264, -0.483, -0.364, -0.505, -0.372 Ry/atom (same order as the records).